1.
Crystalline LuSnTe2AuS at its relaxed geometry. Source: OQMD, functional PBE.

Summary:
- DFT total energy (eV per atom) = -4.39
- magnetization (μB per formula unit) = 0.01

Cell: 4.243 14.585 10.107 Å, 90.00 90.00 90.00°
Space group Cmcm (No. 63)
Symmetry-distinct sites (fractional):
Lu (0.000, 0.000, 0.000)
Sn (0.000, 0.266, 0.250)
Te (0.000, 0.350, 0.554)
Au (0.000, 0.482, 0.750)
S (0.000, 0.080, 0.750)

=====

2.
Crystalline PrSmSi2Ir at its relaxed geometry. Source: OQMD, functional PBE.

Summary:
- DFT total energy (eV per atom) = -6.70
- magnetization (μB per formula unit) = 0.01

Cell: 11.116 4.277 10.341 Å, 90.00 117.06 90.00°
Space group C2/m (No. 12)
Symmetry-distinct sites (fractional):
Pr (0.001, 0.000, 0.168)
Sm (0.186, 0.000, 0.609)
Si (0.007, 0.500, 0.384)
Si (0.180, 0.500, 0.058)
Ir (0.220, 0.500, 0.835)

=====

3.
Crystalline CoReSbPd at its relaxed geometry. Source: OQMD, functional PBE.

Summary:
- excess energy over the best structure of this formula in the dataset (meV per atom) = 0.0
- magnetization (μB per formula unit) = 1.68

Cell: 6.267 6.267 6.267 Å, 90.00 90.00 90.00°
Space group F-43m (No. 216)
Symmetry-distinct sites (fractional):
Co (0.000, 0.000, 0.000)
Re (0.000, 0.000, 0.500)
Sb (0.250, 0.250, 0.750)
Pd (0.250, 0.250, 0.250)

=====

4.
Crystalline AcHgPO at its relaxed geometry. Source: OQMD, functional PBE.

Summary:
- excess energy over the best structure of this formula in the dataset (meV per atom) = 421.8
- magnetization (μB per formula unit) = 0.00

Cell: 6.125 6.125 4.836 Å, 90.00 90.00 90.00°
Space group P4/nmm (No. 129, origin choice 2)
Symmetry-distinct sites (fractional):
Ac (0.250, 0.750, 0.000)
Hg (0.250, 0.250, 0.497)
P (0.250, 0.250, 0.996)
O (0.250, 0.750, 0.500)

=====

5.
Crystalline TaTcPd at its relaxed geometry. Source: OQMD, functional PBE.

Summary:
- formation energy (eV/f.u.) = 1.861
- excess energy over the best structure of this formula in the dataset (meV per atom) = 194.2
- magnetization (μB per formula unit) = 0.62

Cell: 6.094 6.094 6.094 Å, 90.00 90.00 90.00°
Space group F-43m (No. 216)
Symmetry-distinct sites (fractional):
Ta (0.000, 0.000, 0.000)
Tc (0.250, 0.250, 0.750)
Pd (0.000, 0.000, 0.500)

=====

6.
Crystalline MgTaZnIr at its relaxed geometry. Source: OQMD, functional PBE.

Summary:
- excess energy over the best structure of this formula in the dataset (meV per atom) = 471.4
- magnetization (μB per formula unit) = 0.07

Cell: 6.288 6.288 6.288 Å, 90.00 90.00 90.00°
Space group F-43m (No. 216)
Symmetry-distinct sites (fractional):
Mg (0.000, 0.000, 0.000)
Ta (0.250, 0.250, 0.250)
Zn (0.000, 0.000, 0.500)
Ir (0.250, 0.250, 0.750)

=====

7.
Crystalline DyHoGe2 at its relaxed geometry. Source: OQMD, functional PBE.

Summary:
- DFT total energy (eV per atom) = -5.18
- magnetization (μB per formula unit) = 0.00

Cell: 4.073 18.495 5.450 Å, 90.00 90.00 90.00°
Space group Cmcm (No. 63)
Symmetry-distinct sites (fractional):
Dy (0.000, 0.077, 0.250)
Ho (0.000, 0.297, 0.250)
Ge (0.000, 0.314, 0.750)
Ge (0.000, 0.457, 0.250)

=====

8.
Crystalline PuWAu at its relaxed geometry. Source: OQMD, functional PBE.

Summary:
- formation energy (eV/f.u.) = 3.172
- excess energy over the best structure of this formula in the dataset (meV per atom) = 332.7
- magnetization (μB per formula unit) = 3.29

Cell: 6.486 6.486 6.486 Å, 90.00 90.00 90.00°
Space group F-43m (No. 216)
Symmetry-distinct sites (fractional):
Pu (0.000, 0.000, 0.000)
W (0.250, 0.250, 0.250)
Au (0.250, 0.250, 0.750)

=====

Q: Which formula does entry 4 have?
A: AcHgPO